Entry 1:
Here is a relaxed ZnH2S crystal from Alexandria via LeMat-Bulk. Energies are from PBE.

Summary:
crystal system = monoclinic
space group = Pm, No. 6
E_tot = -3.3337 eV per atom
ΔE to the lowest computed polymorph = 0.0000 eV per atom

a b c (Å): 3.878 3.882 6.204
angles (deg): 90.00 90.00 119.95
Element x y z (fractional)
Zn 0.559 0.318 0.000
H 0.633 0.464 0.500
H 0.506 0.241 0.500
S 0.892 0.984 0.000


Entry 2:
Here is a relaxed Ce4Ga3H4 crystal from Alexandria via LeMat-Bulk. Energies are from PBE.

Summary:
crystal system = orthorhombic
space group = Amm2, No. 38
E_tot = -4.6860 eV per atom

a b c (Å): 4.149 6.112 8.322
angles (deg): 90.00 90.00 109.84
Element x y z (fractional)
Ce 0.688 0.375 0.755
Ce 0.688 0.375 0.245
Ce 0.984 0.967 0.500
Ce 0.993 0.987 0.000
Ga 0.400 0.801 0.254
Ga 0.400 0.801 0.746
Ga 0.278 0.555 0.000
H 0.596 0.192 0.500
H 0.588 0.176 0.000
H 0.092 0.184 0.743
H 0.092 0.184 0.257